Material: Hf2CoOsSe
Method: DFT, PBE
State: optimized geometry

It has space group P4/mmm (No. 123), with a = 5.0441 Å, b = 5.0441 Å, c = 4.5649 Å, α = 90.00°, β = 90.00° and γ = 90.00°. Symmetry generates all atoms from Hf at (0.0000, 0.5000, 0.0000), Co at (0.0000, 0.0000, 0.5000), Os at (0.5000, 0.5000, 0.0000) and Se at (0.5000, 0.5000, 0.5000).

The value obtained for the energy relative to the elements, uncorrected is 1.000 eV per atom. The value obtained for the volume is 23.23 Å³ per atom. The calculation puts the density at 9.795 g/cm3.

Material: Hf2CoP
Method: DFT, PBE
State: optimized geometry

It has space group I-42d (No. 122), with a = 6.8561 Å, b = 6.8561 Å, c = 5.9455 Å, α = 90.00°, β = 90.00° and γ = 90.00°. Symmetry generates all atoms from Hf at (0.2398, 0.2500, 0.1250), Co at (0.0000, 0.0000, 0.0000) and P at (0.0000, 0.0000, 0.5000).

The formation energy is -0.268 eV per atom. The value obtained for the volume is 17.47 Å³ per atom. The calculation puts the density at 10.621 g/cm3.

Material: Hf2CoP
Method: DFT, PBE
State: optimized geometry

It has space group R-3m (No. 166, hexagonal axes), with a = 3.3504 Å, b = 3.3504 Å, c = 24.1169 Å, α = 90.00°, β = 90.00° and γ = 120.00°. Symmetry generates all atoms from Hf at (0.0000, 0.0000, 0.0996), Co at (0.0000, 0.0000, 0.0000) and P at (0.0000, 0.0000, 0.5000).

The formation energy is 0.069 eV per atom. The value obtained for the volume is 19.54 Å³ per atom. The calculation puts the density at 9.495 g/cm3.